# 1
HoVRuRh after structural relaxation, computed with PBE.

Properties
DFT formation energy: -0.28 eV per atom
space-group type: F-43m, No. 216
M_tot: 0.322 μB/atom
density: 10.5 g/cm3
total DFT energy (no corrections): -0.28887 Ha/atom

a = 4.5479 Å, b = 4.5479 Å, c = 4.5479 Å
α = 60.00°, β = 60.00°, γ = 60.00°
Closest atoms and distances in Å follow each position.
Element x y z (fractional)
Ho 0.0000 0.0000 0.0000  4 Ru 2.78, 4 Rh 2.78
V 0.5000 0.5000 0.5000  4 Ru 2.78, 4 Rh 2.78
Ru 0.2500 0.2500 0.2500  4 Ho 2.78, 4 V 2.78
Rh 0.7500 0.7500 0.7500  4 Ho 2.78, 4 V 2.78

# 2
Ho2Zn5Ru2Rh after structural relaxation, computed with PBE.

Properties
DFT formation energy: -0.27 eV per atom
space-group type: P4/mbm, No. 127
M_tot: 0.000 μB/atom
density: 9.3 g/cm3
total DFT energy (no corrections): -0.16210 Ha/atom

a = 9.4401 Å, b = 9.4401 Å, c = 3.8464 Å
α = 90.00°, β = 90.00°, γ = 90.00°
Closest atoms and distances in Å follow each position.
Element x y z (fractional)
Ho 0.1744 0.3256 0.0000  3 Ru 2.64-2.88
Ho 0.3256 0.8256 0.0000  3 Ru 2.64-2.88
Ho 0.6744 0.1744 0.0000  3 Ru 2.64-2.88
Ho 0.8256 0.6744 0.0000  3 Ru 2.64-2.88
Zn 0.0000 0.5000 0.5000  4 Ru 2.57
Zn 0.0571 0.8073 0.5000  2 Ru 2.65, 3 Zn 2.68-2.95, 2 Rh 2.70
Zn 0.1927 0.0571 0.5000  2 Ru 2.65, 3 Zn 2.68-2.95, 2 Rh 2.70
Zn 0.3073 0.5571 0.5000  2 Ru 2.65, 3 Zn 2.68-2.95, 2 Rh 2.70
Zn 0.4429 0.3073 0.5000  2 Ru 2.65, 3 Zn 2.68-2.95, 2 Rh 2.70
Zn 0.5000 0.0000 0.5000  4 Ru 2.57
Zn 0.5571 0.6927 0.5000  2 Ru 2.65, 3 Zn 2.68-2.95, 2 Rh 2.70
Zn 0.6927 0.4429 0.5000  2 Ru 2.65, 3 Zn 2.68-2.95, 2 Rh 2.70
Zn 0.8073 0.9429 0.5000  2 Ru 2.65, 3 Zn 2.68-2.95, 2 Rh 2.70
Zn 0.9429 0.1927 0.5000  2 Ru 2.65, 3 Zn 2.68-2.95, 2 Rh 2.70
Ru 0.1276 0.6276 0.0000  6 Zn 2.57-2.65, 1 Ho 2.64
Ru 0.3724 0.1276 0.0000  6 Zn 2.57-2.65, 1 Ho 2.64
Ru 0.6276 0.8724 0.0000  6 Zn 2.57-2.65, 1 Ho 2.64
Ru 0.8724 0.3724 0.0000  6 Zn 2.57-2.65, 1 Ho 2.64
Rh 0.0000 0.0000 0.0000  8 Zn 2.70
Rh 0.5000 0.5000 0.0000  8 Zn 2.70

# 3
HoZnRuRh after structural relaxation, computed with PBE.

Properties
DFT formation energy: -0.35 eV per atom
space-group type: F-43m, No. 216
M_tot: 0.000 μB/atom
density: 10.9 g/cm3
total DFT energy (no corrections): -0.21921 Ha/atom

a = 4.5390 Å, b = 4.5390 Å, c = 4.5390 Å
α = 60.00°, β = 60.00°, γ = 60.00°
Closest atoms and distances in Å follow each position.
Element x y z (fractional)
Ho 0.0000 0.0000 0.0000  4 Ru 2.78, 4 Rh 2.78
Zn 0.5000 0.5000 0.5000  4 Ru 2.78, 4 Rh 2.78
Ru 0.7500 0.7500 0.7500  4 Zn 2.78, 4 Ho 2.78
Rh 0.2500 0.2500 0.2500  4 Zn 2.78, 4 Ho 2.78

# 4
Ho6RhS5 after structural relaxation, computed with PBE.

Properties
ΔE_f (raw): -2050 kJ/mol of formula units
space-group type: C2/m, No. 12
M_tot: 0.000 μB/atom
density: 8.1 g/cm3
total DFT energy (no corrections): -0.23491 Ha/atom

a = 6.8010 Å, b = 6.8010 Å, c = 6.7718 Å
α = 99.67°, β = 99.67°, γ = 119.90°
Closest atoms and distances in Å follow each position.
Element x y z (fractional)
Ho 0.0813 0.4112 0.2454  1 Rh 2.73, 5 S 2.77-2.78
Ho 0.2475 0.2475 0.7507  1 Rh 2.76, 5 S 2.77-2.81
Ho 0.4112 0.0813 0.2454  1 Rh 2.73, 5 S 2.77-2.78
Ho 0.5888 0.9187 0.7546  1 Rh 2.73, 5 S 2.77-2.78
Ho 0.7525 0.7525 0.2493  1 Rh 2.76, 5 S 2.77-2.81
Ho 0.9187 0.5888 0.7546  1 Rh 2.73, 5 S 2.77-2.78
Rh 0.0000 0.0000 0.0000  6 Ho 2.73-2.76
S 0.1713 0.8287 0.5000  6 Ho 2.77-2.81
S 0.3339 0.6661 0.0000  6 Ho 2.77
S 0.5000 0.5000 0.5000  6 Ho 2.78-2.79
S 0.6661 0.3339 0.0000  6 Ho 2.77
S 0.8287 0.1713 0.5000  6 Ho 2.77-2.81

# 5
HoRhS2 after structural relaxation, computed with PBE.

Properties
ΔE_f (raw): -223 kJ/mol of formula units
space-group type: R-3m, No. 166
M_tot: 0.000 μB/atom
density: 6.3 g/cm3
total DFT energy (no corrections): -0.20668 Ha/atom

a = 7.9880 Å, b = 7.9880 Å, c = 7.9880 Å
α = 26.29°, β = 26.29°, γ = 26.29°
Closest atoms and distances in Å follow each position.
Element x y z (fractional)
Ho 0.0000 0.0000 0.0000  2 S 2.68
Rh 0.5000 0.5000 0.5000  6 S 2.40
S 0.1159 0.1159 0.1159  3 Rh 2.40, 1 Ho 2.68
S 0.8841 0.8841 0.8841  3 Rh 2.40, 1 Ho 2.68

# 6
Ho3RhS after structural relaxation, computed with PBE.

Properties
ΔE_f (raw): -528 kJ/mol of formula units
space-group type: Pmmn, No. 59
M_tot: 0.000 μB/atom
density: 8.7 g/cm3
total DFT energy (no corrections): -0.22552 Ha/atom

a = 3.7363 Å, b = 6.7232 Å, c = 9.5592 Å
α = 90.00°, β = 90.00°, γ = 90.00°
Closest atoms and distances in Å follow each position.
Element x y z (fractional)
Ho 0.2500 0.0111 0.1850  3 S 2.82-2.84, 2 Rh 2.86
Ho 0.2500 0.2500 0.5438  2 Rh 2.72
Ho 0.2500 0.4889 0.1850  3 S 2.82-2.84, 2 Rh 2.86
Ho 0.7500 0.5111 0.8150  3 S 2.82-2.84, 2 Rh 2.86
Ho 0.7500 0.7500 0.4562  2 Rh 2.72
Ho 0.7500 0.9889 0.8150  3 S 2.82-2.84, 2 Rh 2.86
Rh 0.2500 0.7500 0.6631  6 Ho 2.72-2.86
Rh 0.7500 0.2500 0.3369  6 Ho 2.72-2.86
S 0.2500 0.2500 0.9429  6 Ho 2.82-2.84
S 0.7500 0.7500 0.0571  6 Ho 2.82-2.84

# 7
Ho6Rh2Se3S after structural relaxation, computed with PBE.

Properties
ΔE_f (raw): -1695 kJ/mol of formula units
space-group type: C2/m, No. 12
M_tot: 0.000 μB/atom
density: 8.6 g/cm3
total DFT energy (no corrections): -0.22758 Ha/atom

a = 6.9094 Å, b = 6.9094 Å, c = 7.2417 Å
α = 99.24°, β = 99.24°, γ = 120.07°
Closest atoms and distances in Å follow each position.
Element x y z (fractional)
Ho 0.0823 0.4255 0.7731  2 Rh 2.74-2.76, 1 S 2.83, 3 Se 2.95-3.00
Ho 0.2327 0.2327 0.2281  2 Rh 2.76, 1 S 2.85, 3 Se 2.91-2.95
Ho 0.4255 0.0823 0.7731  2 Rh 2.74-2.76, 1 S 2.83, 3 Se 2.95-3.00
Ho 0.5745 0.9177 0.2269  2 Rh 2.74-2.76, 1 S 2.83, 3 Se 2.95-3.00
Ho 0.7673 0.7673 0.7719  2 Rh 2.76, 1 S 2.85, 3 Se 2.91-2.95
Ho 0.9177 0.5745 0.2269  2 Rh 2.74-2.76, 1 S 2.83, 3 Se 2.95-3.00
Rh 0.1673 0.8327 0.0000  6 Ho 2.74-2.76
Rh 0.8327 0.1673 0.0000  6 Ho 2.74-2.76
Se 0.0000 0.0000 0.5000  6 Ho 2.91-3.00
Se 0.3376 0.6624 0.5000  6 Ho 2.95-2.99
Se 0.6624 0.3376 0.5000  6 Ho 2.95-2.99
S 0.5000 0.5000 0.0000  6 Ho 2.83-2.85

# 8
Ho4RhSe2S after structural relaxation, computed with PBE.

Properties
ΔE_f (raw): -1197 kJ/mol of formula units
space-group type: P2/m, No. 10
M_tot: 0.000 μB/atom
density: 8.5 g/cm3
total DFT energy (no corrections): -0.22586 Ha/atom

a = 7.0408 Å, b = 3.9472 Å, c = 7.0670 Å
α = 90.00°, β = 108.72°, γ = 90.00°
Closest atoms and distances in Å follow each position.
Element x y z (fractional)
Ho 0.2348 0.0000 0.2255  2 Rh 2.73, 1 S 2.82, 3 Se 2.92-2.97
Ho 0.2525 0.5000 0.7686  1 Rh 2.77, 2 S 2.79, 3 Se 2.91-2.96
Ho 0.7475 0.5000 0.2314  1 Rh 2.77, 2 S 2.79, 3 Se 2.91-2.96
Ho 0.7652 0.0000 0.7745  2 Rh 2.73, 1 S 2.82, 3 Se 2.92-2.97
Rh 0.0000 0.5000 0.0000  6 Ho 2.73-2.77
Se 0.0000 0.0000 0.5000  6 Ho 2.91-2.92
Se 0.5000 0.5000 0.5000  6 Ho 2.96-2.97
S 0.5000 0.0000 0.0000  6 Ho 2.79-2.82